The following is a PBE+U calculation of an optimized crystal structure of KMoO3, from Alexandria via LeMat-Bulk.

Lattice parameters (Å, degrees): 3.7039 3.7039 24.0131 90.00 90.00 90.00
With the nearest neighbours (Å) after each atom.
Space group I-4m2 (No. 119)
Inequivalent atoms, fractional coordinates:
K (0.0000, 0.0000, 0.0000) (multiplicity 2)  4 O 2.61
K (0.0000, 0.5000, 0.2500) (multiplicity 2)  4 O 2.64
Mo (0.0000, 0.5000, 0.6314) (multiplicity 4)  6 O 2.09-2.21
O (0.0000, 0.0000, 0.3281) (multiplicity 4)  2 Mo 2.09
O (0.0000, 0.2587, 0.1012) (multiplicity 8)  2 O 1.79-1.92

Properties
- D(E_F): 3.60 states/eV per cell
- Volume: 329.4 Å³/cell
- Uncorrected energy: -5.390 eV/atom